MoPt3O after structural relaxation. Source: Alexandria via LeMat-Bulk, functional GGA+U.

The structure belongs to space group Pm-3m (No. 221); the cell edges are 4.310, 4.310 and 4.310 Å and the angles 90.00°, 90.00° and 90.00°. Symmetry generates all atoms from Mo at (0.000, 0.000, 0.000), Pt at (0.000, 0.500, 0.500) and O at (0.500, 0.500, 0.500).

For the energy relative to the lowest polymorph listed for this composition, the calculation gives 0.0000 eV/atom.